No. 1
The following is a PBE-GGA calculation of crystalline MgTlMo2 at its relaxed geometry, from Alexandria via LeMat-Bulk.

Computed properties:
Size of the total moment (μB/f.u.): 0.0
Electronic total energy (eV/atom): -5.816
Calculated formation energy (kJ/mol of formula units): 228
Offset from the most stable computed form (eV per atom): 0.306

Cell and atoms, written as CIF:
```
data_MgTlMo2
_chemical_formula_sum 'Mg1 Tl1 Mo2'
_space_group_name_H-M_alt 'P m m m'
_space_group_IT_number 47
_space_group_name_Hall '-P 2 2'
_cell_length_a 2.851
_cell_length_b 4.583
_cell_length_c 5.612
_cell_angle_alpha 90.00
_cell_angle_beta 90.00
_cell_angle_gamma 90.00
loop_
_atom_site_label
_atom_site_fract_x
_atom_site_fract_y
_atom_site_fract_z
Mg1 0.000 0.000 0.000
Tl1 0.000 0.000 0.500
Mo1 0.500 0.500 0.224
```

---

No. 2
The following is a PBE-GGA calculation of crystalline MgTlMo2 at its relaxed geometry, from Alexandria via LeMat-Bulk.

Computed properties:
Size of the total moment (μB/f.u.): 0.0
Electronic total energy (eV/atom): -5.868
Calculated formation energy (kJ/mol of formula units): 208
Offset from the most stable computed form (eV per atom): 0.254

Cell and atoms, written as CIF:
```
data_MgTlMo2
_chemical_formula_sum 'Mg2 Tl2 Mo4'
_space_group_name_H-M_alt 'C 1 m 1'
_space_group_IT_number 8
_space_group_name_Hall 'C -2y'
_cell_length_a 9.533
_cell_length_b 2.876
_cell_length_c 5.336
_cell_angle_alpha 90.00
_cell_angle_beta 94.56
_cell_angle_gamma 90.00
loop_
_atom_site_label
_atom_site_fract_x
_atom_site_fract_y
_atom_site_fract_z
Mg1 0.000 0.000 0.000
Tl1 0.249 0.000 0.761
Mo1 0.007 0.500 0.473
Mo2 0.248 0.500 0.269
```

---

No. 3
The following is a PBE-GGA calculation of crystalline MgTl2Mo at its relaxed geometry, from Alexandria via LeMat-Bulk.

Computed properties:
Size of the total moment (μB/f.u.): 0.0
Electronic total energy (eV/atom): -3.761
Calculated formation energy (kJ/mol of formula units): 204
Offset from the most stable computed form (eV per atom): 0.068

Cell and atoms, written as CIF:
```
data_MgTl2Mo
_chemical_formula_sum 'Mg1 Tl2 Mo1'
_space_group_name_H-M_alt 'P m m m'
_space_group_IT_number 47
_space_group_name_Hall '-P 2 2'
_cell_length_a 3.282
_cell_length_b 4.032
_cell_length_c 6.268
_cell_angle_alpha 90.00
_cell_angle_beta 90.00
_cell_angle_gamma 90.00
loop_
_atom_site_label
_atom_site_fract_x
_atom_site_fract_y
_atom_site_fract_z
Mg1 0.000 0.000 0.000
Tl1 0.500 0.500 0.257
Mo1 0.000 0.000 0.500
```

---

Among the records above, which one has the lowest offset from the most stable computed form?
MgTl2Mo